Density functional theory data (PBE) for a geometry-optimized PaTeAs structure.

Computed properties:
As for the space-group type: F-43m (216). As for the density: 8.2 g cm⁻³. The value obtained for the formation energy without anion corrections is -0.64 eV/atom. The value obtained for the spin magnetization is 0.00 μB/f.u.

Unit cell a=4.9798 b=4.9798 c=4.9798 alpha=60.00 beta=60.00 gamma=60.00
Fractional positions:
1 As 0.0000 0.0000 0.0000
2 Pa 0.2500 0.2500 0.2500
3 Te 0.5000 0.5000 0.5000

Density functional theory data (PBE) for a geometry-optimized Ta2TcAg structure.

Computed properties:
As for the space-group type: P4mm (99). As for the density: 13.7 g cm⁻³. The formation energy is 0.269 eV/atom. The energy relative to the lowest polymorph listed for this composition comes out at 206 meV per atom. The value obtained for the spin magnetization is 0.00 μB/f.u.

Unit cell a=2.7619 b=2.7619 c=9.0158 alpha=90.00 beta=90.00 gamma=90.00
Fractional positions:
1 Ag 0.5000 0.5000 0.7438
2 Ta 0.0000 0.0000 0.0003
3 Ta 0.5000 0.5000 0.2555
4 Tc 0.0000 0.0000 0.5003

Density functional theory data (PBE) for a geometry-optimized SrSmMgPb structure.

Computed properties:
As for the space-group type: F-43m (216). As for the density: 6.2 g cm⁻³. The formation energy is -0.270 eV/atom. The value obtained for the spin magnetization is 0.00 μB/f.u.

Unit cell a=5.6174 b=5.6174 c=5.6174 alpha=60.00 beta=60.00 gamma=60.00
Fractional positions:
1 Pb 0.7500 0.7500 0.7500
2 Sr 0.0000 0.0000 0.0000
3 Mg 0.2500 0.2500 0.2500
4 Sm 0.5000 0.5000 0.5000

Density functional theory data (PBE) for a geometry-optimized SnTe structure.

Computed properties:
As for the space-group type: P4/m (83). As for the density: 5.1 g cm⁻³. The value obtained for the formation energy without anion corrections is -0.19 eV/atom. The value obtained for the spin magnetization is 0.00 μB/f.u.

Unit cell a=12.1892 b=12.1892 c=4.3170 alpha=90.00 beta=90.00 gamma=90.00
Fractional positions:
1 Sn 0.9076 0.6034 0.5000
2 Sn 0.0924 0.3966 0.5000
3 Sn 0.3966 0.9076 0.5000
4 Sn 0.6034 0.0924 0.5000
5 Sn 0.8058 0.4159 0.0000
6 Sn 0.1942 0.5841 0.0000
7 Sn 0.5841 0.8058 0.0000
8 Sn 0.4159 0.1942 0.0000
9 Te 0.6682 0.3267 0.5000
10 Te 0.3318 0.6733 0.5000
11 Te 0.6733 0.6682 0.5000
12 Te 0.3267 0.3318 0.5000
13 Te 0.0066 0.7383 0.0000
14 Te 0.9934 0.2617 0.0000
15 Te 0.2617 0.0066 0.0000
16 Te 0.7383 0.9934 0.0000

Density functional theory data (PBE) for a geometry-optimized In4PAu2 structure.

Computed properties:
As for the space-group type: P2_1/m (11). As for the density: 8.7 g cm⁻³. The formation energy is -0.071 eV/atom. The value obtained for the spin magnetization is 0.00 μB/f.u.

Unit cell a=3.7711 b=7.8319 c=12.3517 alpha=67.31 beta=90.00 gamma=90.00
Fractional positions:
1 P 0.7500 0.8818 0.7855
2 P 0.2500 0.1182 0.2145
3 Au 0.2500 0.6889 0.1015
4 Au 0.7500 0.3111 0.8985
5 Au 0.2500 0.7180 0.5207
6 Au 0.7500 0.2820 0.4793
7 In 0.2500 0.0418 0.8841
8 In 0.7500 0.9582 0.1159
9 In 0.2500 0.0009 0.6121
10 In 0.7500 0.9991 0.3879
11 In 0.2500 0.5536 0.3502
12 In 0.7500 0.4464 0.6498
13 In 0.2500 0.5988 0.8816
14 In 0.7500 0.4012 0.1184

Density functional theory data (PBE) for a geometry-optimized Ba2LaTe structure.

Computed properties:
As for the space-group type: P4mm (99). As for the density: 4.9 g cm⁻³. The value obtained for the formation energy without anion corrections is -0.64 eV/atom. The value obtained for the spin magnetization is 1.52 μB/f.u.

Unit cell a=4.2724 b=4.2724 c=10.0033 alpha=90.00 beta=90.00 gamma=90.00
Last column: magnetic moment on the atom in μB.
Fractional positions:
1 Ba 0.0000 0.0000 0.9421  0.01
2 Ba 0.5000 0.5000 0.2902  0.16
3 La 0.0000 0.0000 0.5671  0.38
4 Te 0.5000 0.5000 0.7007  -0.01